DFT (PBE) results for a relaxed RbTl8Sn4 crystal.

a b c (Å): 11.3364 11.3364 6.5034
angles (deg): 90.00 90.00 90.00
Space group I4/mmm (No. 139)
Unique sites:
Rb (0.0000, 0.0000, 0.0000) [2 per cell]
Tl (0.0000, 0.2125, 0.5000) [8 per cell]
Tl (0.0000, 0.3526, 0.0000) [8 per cell]
Sn (0.2500, 0.2500, 0.2500) [8 per cell]

Values from the calculation:
calculated total energy: -2.768 eV/atom
formation energy: -0.07 eV per formula unit
density of states at the Fermi level: 14.6 states/eV/cell